# 1
Compound: Eu2BrO
Source: Alexandria
Functional: PBE-GGA
Structure: relaxed

Values from the calculation:
**Formation energy (no corrections)**: -197.0 kJ/mol of atoms
**Density of states at the Fermi level**: 0.29 states/eV/atom

Structure (POSCAR):
```
Eu2BrO
1.0
-1.1128 -0.0870 3.6295
-3.6292 -0.7177 0.8565
-0.1030 -7.4033 1.7775
Eu O Br
2 1 1
Cartesian
-3.5333 -6.6411 4.7168 Eu
-1.3117 -1.5669 1.5467 Eu
0.0000 0.0000 0.0000 O
-2.4225 -4.1040 3.1318 Br
```

---

# 2
Compound: Tb2DyY4Tm2
Source: Alexandria
Functional: PBE-GGA
Structure: relaxed

Values from the calculation:
**E_tot**: -5.4012 eV/atom
**Density of states at the Fermi level**: 1.42 states/eV/atom

Structure (POSCAR):
```
Tb2DyY4Tm2
1.0
-3.0557 -0.9283 -1.6228
3.4716 -8.5138 2.2870
-4.9556 4.3380 6.8501
Tm Y Dy Tb
2 4 1 2
Cartesian
1.2920 -5.9758 0.9855 Tm
-5.8318 0.8718 6.5289 Tm
-0.9268 -1.8865 2.8243 Y
-3.1087 0.6490 1.5286 Y
-3.6130 -3.2175 4.6900 Y
-1.4311 -5.7531 5.9857 Y
0.0000 0.0000 0.0000 Dy
-1.8066 -5.3336 2.4989 Tb
-2.7332 0.2295 5.0154 Tb
```

---

# 3
Compound: BaLi2As
Source: Alexandria
Functional: PBE-GGA
Structure: relaxed

Values from the calculation:
**E_tot**: -3.0941 eV/atom
**Density of states at the Fermi level**: 0.43 states/eV/atom

Structure (POSCAR):
```
BaLi2As
1.0
-1.3230 -4.3508 -0.9917
1.8068 -1.5467 4.3753
-4.1375 0.6464 2.6839
Li As Ba
2 1 1
Cartesian
-0.2561 -0.0673 0.6369 Li
-0.9092 -0.3829 2.8926 Li
-1.2442 -2.4005 1.2689 As
-2.4095 -2.8506 4.7985 Ba
```

---

# 4
Compound: LiCaNi2C
Source: Alexandria
Functional: PBE-GGA
Structure: relaxed

Values from the calculation:
**E_tot**: -4.9381 eV/atom
**Density of states at the Fermi level**: 0.61 states/eV/atom

Structure (POSCAR):
```
LiCaNi2C
1.0
-3.3782 -1.0888 -1.6213
1.9492 -1.6789 -2.9340
0.1316 -3.6395 2.1700
Ca Ni Li C
1 2 1 1
Cartesian
-0.6487 -3.2036 -1.1926 Ca
0.9746 -0.8394 -1.4670 Ni
-1.6891 -0.5444 -0.8106 Ni
0.0658 -1.8198 1.0850 Li
0.0000 0.0000 0.0000 C
```